First-principles (GGA-PBEsol) data for a relaxed MgPAu2 crystal, as listed in the Alexandria database.

Lattice parameters (Å, degrees): 4.0020 4.0020 5.0225 113.48 113.48 90.00
Sites, in units of the cell vectors:
Au 0.0000 0.0000 0.0000
P 0.2500 0.7500 0.5000
Au 0.7500 0.2500 0.5000
Mg 0.5000 0.5000 0.0000

## Properties
SG: I-4m2, No. 119
Formation enthalpy at 0 K: -0.1310 eV/atom
Offset from the most stable computed form: 0.193 eV/f.u.



First-principles (GGA-PBEsol) data for a relaxed HfNi3Sb crystal, as listed in the Alexandria database.

Lattice parameters (Å, degrees): 4.5318 4.5318 4.5318 90.00 90.00 90.00
Sites, in units of the cell vectors:
Hf 0.0000 0.0000 0.0000
Sb 0.5000 0.5000 0.5000
Ni 0.0000 0.5000 0.0000
Ni 0.5000 0.0000 0.0000
Ni 0.0000 0.0000 0.5000

## Properties
SG: Pm-3m, No. 221
E_form (uncorrected): 0.98 eV/atom



First-principles (GGA-PBEsol) data for a relaxed CaTe2Ir crystal, as listed in the Alexandria database.

Lattice parameters (Å, degrees): 3.3742 5.0185 5.0185 90.00 90.00 90.00
Sites, in units of the cell vectors:
Ir 0.5000 0.0000 0.0000
Te 0.0000 0.0000 0.5000
Ca 0.5000 0.5000 0.5000
Te 0.0000 0.5000 0.0000

## Properties
SG: P4/mmm, No. 123
Offset from the most stable computed form: 0.000 eV/f.u.
E_form (uncorrected): -0.31 eV/atom



First-principles (GGA-PBEsol) data for a relaxed La2AlTl crystal, as listed in the Alexandria database.

Lattice parameters (Å, degrees): 3.5381 5.6804 5.6804 103.32 90.00 90.00
Sites, in units of the cell vectors:
Tl 0.5000 0.0000 0.0000
Al 0.5000 0.5000 0.5000
La 0.0000 0.5000 0.0000
La 0.0000 0.0000 0.5000

## Properties
SG: Cmmm, No. 65
Formation enthalpy at 0 K: -0.3758 eV/atom



Record order is preserved below.
Calculated volume: 16.61 18.61 21.25 27.77 A^3/atom